This record from OQMD via LeMat-Bulk describes Rb2UCl5 after structural relaxation. The functional is PBE.

Unit cell a=13.1919 b=8.9741 c=8.2442 alpha=90.00 beta=90.00 gamma=90.00
Sites, in units of the cell vectors:
Rb 0.1701 0.0060 0.0571
Rb 0.1701 0.4940 0.0571
Rb 0.3299 0.5060 0.5571
Rb 0.3299 0.9940 0.5571
Rb 0.6701 0.0060 0.4429
Rb 0.6701 0.4940 0.4429
Rb 0.8299 0.5060 0.9429
Rb 0.8299 0.9940 0.9429
U 0.0034 0.2500 0.5671
U 0.4966 0.7500 0.0671
U 0.5034 0.2500 0.9329
U 0.9966 0.7500 0.4329
Cl 0.0091 0.2500 0.9099
Cl 0.0731 0.5412 0.6640
Cl 0.0731 0.9588 0.6640
Cl 0.1781 0.2500 0.3804
Cl 0.1998 0.7500 0.3457
Cl 0.3002 0.2500 0.8457
Cl 0.3219 0.7500 0.8804
Cl 0.4269 0.0412 0.1640
Cl 0.4269 0.4588 0.1640
Cl 0.4909 0.7500 0.4099
Cl 0.5091 0.2500 0.5901
Cl 0.5731 0.5412 0.8360
Cl 0.5731 0.9588 0.8360
Cl 0.6781 0.2500 0.1196
Cl 0.6998 0.7500 0.1543
Cl 0.8002 0.2500 0.6543
Cl 0.8219 0.7500 0.6196
Cl 0.9269 0.0412 0.3360
Cl 0.9269 0.4588 0.3360
Cl 0.9909 0.7500 0.0901

Symmetry: Pnma (62)
Total energy: -4.67 eV per atom

This record from OQMD via LeMat-Bulk describes RbUCl6 after structural relaxation. The functional is PBE.

Unit cell a=7.6811 b=7.6811 c=7.6811 alpha=54.89 beta=54.89 gamma=54.89
Sites, in units of the cell vectors:
Rb 0.0000 0.0000 0.0000
U 0.5000 0.5000 0.5000
Cl 0.0895 0.5918 0.5918
Cl 0.4082 0.4082 0.9105
Cl 0.4082 0.9105 0.4082
Cl 0.5918 0.0895 0.5918
Cl 0.5918 0.5918 0.0895
Cl 0.9105 0.4082 0.4082

Symmetry: R-3m (166)
Total energy: -4.67 eV per atom

This record from OQMD via LeMat-Bulk describes RbW3Cl9 after structural relaxation. The functional is PBE.

Unit cell a=9.4258 b=9.4258 c=8.4392 alpha=90.00 beta=90.00 gamma=120.00
Sites, in units of the cell vectors:
Rb 0.3333 0.6667 0.0656
Rb 0.6667 0.3333 0.9344
W 0.0192 0.8287 0.6295
W 0.1713 0.1905 0.6295
W 0.1905 0.0192 0.3705
W 0.8095 0.9808 0.6295
W 0.8287 0.8095 0.3705
W 0.9808 0.1713 0.3705
Cl 0.0218 0.8056 0.1820
Cl 0.0391 0.6255 0.8041
Cl 0.1734 0.4204 0.5029
Cl 0.1944 0.2162 0.1820
Cl 0.2162 0.0218 0.8180
Cl 0.2470 0.8266 0.5029
Cl 0.3745 0.4136 0.8041
Cl 0.4136 0.0391 0.1959
Cl 0.4204 0.2470 0.4971
Cl 0.5796 0.7530 0.5029
Cl 0.5864 0.9609 0.8041
Cl 0.6255 0.5864 0.1959
Cl 0.7530 0.1734 0.4971
Cl 0.7838 0.9782 0.1820
Cl 0.8056 0.7838 0.8180
Cl 0.8266 0.5796 0.4971
Cl 0.9609 0.3745 0.1959
Cl 0.9782 0.1944 0.8180

Symmetry: P-3 (147)
Total energy: -5.29 eV per atom

This record from OQMD via LeMat-Bulk describes Rb3ZnCl6 after structural relaxation. The functional is PBE.

Unit cell a=7.1305 b=7.1595 c=7.9386 alpha=64.90 beta=63.95 gamma=63.71
Sites, in units of the cell vectors:
Rb 0.0000 0.0000 0.0000
Rb 0.2342 0.2651 0.2602
Rb 0.7658 0.7349 0.7398
Zn 0.5000 0.5000 0.5000
Cl 0.2098 0.7420 0.3443
Cl 0.2637 0.6061 0.8125
Cl 0.3565 0.2007 0.6423
Cl 0.6435 0.7993 0.3577
Cl 0.7363 0.3939 0.1875
Cl 0.7902 0.2580 0.6557

Symmetry: P-1 (2)
Total energy: -2.92 eV per atom

This record from OQMD via LeMat-Bulk describes Rb2ZnCl4 after structural relaxation. The functional is PBE.

Unit cell a=9.3395 b=12.8699 c=7.1899 alpha=90.00 beta=90.00 gamma=90.00
Sites, in units of the cell vectors:
Rb 0.0142 0.1762 0.0000
Rb 0.1260 0.4120 0.4948
Rb 0.3740 0.9120 0.9948
Rb 0.4858 0.6762 0.5000
Rb 0.5142 0.3238 0.0000
Rb 0.6260 0.0880 0.4948
Rb 0.8740 0.5880 0.9948
Rb 0.9858 0.8238 0.5000
Zn 0.2224 0.0766 0.5072
Zn 0.2776 0.5766 0.0072
Zn 0.7224 0.4234 0.5072
Zn 0.7776 0.9234 0.0072
Cl 0.0195 0.9153 0.0177
Cl 0.1786 0.6448 0.2711
Cl 0.1816 0.4135 0.9851
Cl 0.1883 0.6709 0.7656
Cl 0.3117 0.1709 0.2656
Cl 0.3184 0.9135 0.4851
Cl 0.3214 0.1448 0.7711
Cl 0.4805 0.4153 0.5177
Cl 0.5195 0.5847 0.0177
Cl 0.6786 0.8552 0.2711
Cl 0.6816 0.0865 0.9851
Cl 0.6883 0.8291 0.7656
Cl 0.8117 0.3291 0.2656
Cl 0.8184 0.5865 0.4851
Cl 0.8214 0.3552 0.7711
Cl 0.9805 0.0847 0.5177

Symmetry: Pna2_1 (33)
Total energy: -3.17 eV per atom

This record from OQMD via LeMat-Bulk describes Rb2ZnCl4 after structural relaxation. The functional is PBE.

Unit cell a=7.2074 b=7.1877 c=9.2567 alpha=90.00 beta=108.74 gamma=90.00
Sites, in units of the cell vectors:
Rb 0.2073 0.2500 0.0439
Rb 0.2910 0.2500 0.5752
Rb 0.7090 0.7500 0.4248
Rb 0.7927 0.7500 0.9561
Zn 0.2169 0.7500 0.7915
Zn 0.7831 0.2500 0.2085
Cl 0.0071 0.5011 0.7319
Cl 0.0071 0.9989 0.7319
Cl 0.3784 0.7500 0.0488
Cl 0.4188 0.7500 0.6451
Cl 0.5812 0.2500 0.3549
Cl 0.6216 0.2500 0.9512
Cl 0.9929 0.0011 0.2681
Cl 0.9929 0.4989 0.2681

Symmetry: P2_1/m (11)
Total energy: -3.18 eV per atom

This record from OQMD via LeMat-Bulk describes Rb2ZnCl4 after structural relaxation. The functional is PBE.

Unit cell a=27.8225 b=12.7648 c=7.2678 alpha=90.00 beta=90.00 gamma=90.00
Sites, in units of the cell vectors:
Rb 0.0041 0.1800 0.5000
Rb 0.0422 0.4102 0.0000
Rb 0.1233 0.9016 0.4837
Rb 0.1634 0.6795 0.9623
Rb 0.1708 0.3206 0.4685
Rb 0.2087 0.0956 0.9601
Rb 0.2913 0.5956 0.4601
Rb 0.3292 0.8206 0.9685
Rb 0.3366 0.1795 0.4623
Rb 0.3767 0.4016 0.9837
Rb 0.4578 0.9102 0.5000
Rb 0.4959 0.6800 0.0000
Rb 0.5041 0.3200 0.5000
Rb 0.5422 0.0898 0.0000
Rb 0.6233 0.5984 0.4837
Rb 0.6634 0.8205 0.9623
Rb 0.6708 0.1794 0.4685
Rb 0.7087 0.4044 0.9601
Rb 0.7913 0.9044 0.4601
Rb 0.8292 0.6794 0.9685
Rb 0.8366 0.3205 0.4623
Rb 0.8767 0.0984 0.9837
Rb 0.9578 0.5898 0.5000
Rb 0.9959 0.8200 0.0000
Zn 0.0738 0.0777 0.9681
Zn 0.0930 0.5786 0.4889
Zn 0.2414 0.4214 0.9727
Zn 0.2586 0.9214 0.4727
Zn 0.4070 0.0786 0.9889
Zn 0.4262 0.5777 0.4681
Zn 0.5738 0.4223 0.9681
Zn 0.5930 0.9214 0.4889
Zn 0.7414 0.0786 0.9727
Zn 0.7586 0.5786 0.4727
Zn 0.9070 0.4214 0.9889
Zn 0.9262 0.9223 0.4681
Cl 0.0068 0.9255 0.4248
Cl 0.0591 0.4167 0.5234
Cl 0.0616 0.6845 0.7128
Cl 0.0650 0.6430 0.2175
Cl 0.0947 0.1888 0.1985
Cl 0.1084 0.9181 0.0220
Cl 0.1100 0.1365 0.7031
Cl 0.1604 0.4209 0.9981
Cl 0.1739 0.5801 0.5115
Cl 0.2247 0.0812 0.4166
Cl 0.2250 0.8659 0.7445
Cl 0.2345 0.8067 0.2512
Cl 0.2655 0.3067 0.7512
Cl 0.2750 0.3659 0.2445
Cl 0.2753 0.5812 0.9166
Cl 0.3261 0.0801 0.0115
Cl 0.3396 0.9209 0.4981
Cl 0.3900 0.6365 0.2031
Cl 0.3916 0.4181 0.5220
Cl 0.4053 0.6888 0.6985
Cl 0.4350 0.1430 0.7175
Cl 0.4384 0.1845 0.2128
Cl 0.4409 0.9167 0.0234
Cl 0.4932 0.4255 0.9248
Cl 0.5068 0.5745 0.4248
Cl 0.5591 0.0833 0.5234
Cl 0.5616 0.8155 0.7128
Cl 0.5650 0.8570 0.2175
Cl 0.5947 0.3112 0.1985
Cl 0.6084 0.5819 0.0220
Cl 0.6100 0.3635 0.7031
Cl 0.6604 0.0791 0.9981
Cl 0.6739 0.9199 0.5115
Cl 0.7247 0.4188 0.4166
Cl 0.7250 0.6341 0.7445
Cl 0.7345 0.6933 0.2512
Cl 0.7655 0.1933 0.7512
Cl 0.7750 0.1341 0.2445
Cl 0.7753 0.9188 0.9166
Cl 0.8261 0.4199 0.0115
Cl 0.8396 0.5791 0.4981
Cl 0.8900 0.8635 0.2031
Cl 0.8916 0.0819 0.5220
Cl 0.9053 0.8112 0.6985
Cl 0.9350 0.3570 0.7175
Cl 0.9384 0.3155 0.2128
Cl 0.9409 0.5833 0.0234
Cl 0.9932 0.0745 0.9248

Symmetry: Pna2_1 (33)
Total energy: -3.17 eV per atom

This record from OQMD via LeMat-Bulk describes ReCl4 after structural relaxation. The functional is PBE.

Unit cell a=6.3858 b=6.3392 c=12.2524 alpha=90.00 beta=93.16 gamma=90.00
Sites, in units of the cell vectors:
Re 0.1840 0.2335 0.3122
Re 0.1840 0.7665 0.8122
Re 0.8160 0.2335 0.1878
Re 0.8160 0.7665 0.6878
Cl 0.0000 0.4495 0.7500
Cl 0.0000 0.5505 0.2500
Cl 0.1330 0.0928 0.1281
Cl 0.1330 0.9072 0.6281
Cl 0.2514 0.3873 0.4783
Cl 0.2514 0.6127 0.9783
Cl 0.3573 0.0674 0.8650
Cl 0.3573 0.9326 0.3650
Cl 0.5000 0.4053 0.2500
Cl 0.5000 0.5947 0.7500
Cl 0.6427 0.0674 0.6350
Cl 0.6427 0.9326 0.1350
Cl 0.7486 0.3873 0.0217
Cl 0.7486 0.6127 0.5217
Cl 0.8670 0.0928 0.3719
Cl 0.8670 0.9072 0.8719

Symmetry: P2/c (13)
Relative energy among the computed polymorphs: 0.000 eV/f.u.

This record from OQMD via LeMat-Bulk describes ReCl7 after structural relaxation. The functional is PBE.

Unit cell a=6.2145 b=6.2559 c=11.5538 alpha=94.13 beta=90.46 gamma=114.40
Sites, in units of the cell vectors:
Re 0.1239 0.3600 0.2484
Re 0.8761 0.6400 0.7516
Cl 0.0535 0.3850 0.7962
Cl 0.1493 0.1030 0.3845
Cl 0.1588 0.6704 0.6099
Cl 0.1675 0.9424 0.8632
Cl 0.2904 0.5412 0.0764
Cl 0.3879 0.1986 0.1776
Cl 0.4207 0.6645 0.3544
Cl 0.5793 0.3355 0.6456
Cl 0.6121 0.8014 0.8224
Cl 0.7096 0.4588 0.9236
Cl 0.8325 0.0576 0.1368
Cl 0.8412 0.3296 0.3901
Cl 0.8507 0.8970 0.6155
Cl 0.9465 0.6150 0.2038

Symmetry: P-1 (2)
Total energy: -3.48 eV per atom

This record from OQMD via LeMat-Bulk describes ReCl6 after structural relaxation. The functional is PBE.

Unit cell a=6.5281 b=6.5281 c=6.5281 alpha=55.00 beta=55.00 gamma=55.00
Sites, in units of the cell vectors:
Re 0.0000 0.0000 0.0000
Cl 0.0851 0.7677 0.3876
Cl 0.2323 0.6124 0.9149
Cl 0.3876 0.0851 0.7677
Cl 0.6124 0.9149 0.2323
Cl 0.7677 0.3876 0.0851
Cl 0.9149 0.2323 0.6124

Symmetry: R-3 (148)
Relative energy among the computed polymorphs: 0.042 eV/f.u.

This record from OQMD via LeMat-Bulk describes ReCl4 after structural relaxation. The functional is PBE.

Unit cell a=5.9350 b=5.9350 c=3.4803 alpha=90.00 beta=90.00 gamma=94.09
Sites, in units of the cell vectors:
Re 0.0000 0.0000 0.0000
Cl 0.1915 0.8085 0.5000
Cl 0.2837 0.2837 0.0000
Cl 0.7163 0.7163 0.0000
Cl 0.8085 0.1915 0.5000

Symmetry: Cmmm (65)
Relative energy among the computed polymorphs: 0.337 eV/f.u.

This record from OQMD via LeMat-Bulk describes ReCl5 after structural relaxation. The functional is PBE.

Unit cell a=9.2807 b=11.6209 c=12.1188 alpha=90.00 beta=109.16 gamma=90.00
Sites, in units of the cell vectors:
Re 0.1192 0.1277 0.3151
Re 0.1192 0.3723 0.8151
Re 0.3078 0.6245 0.2928
Re 0.3078 0.8755 0.7928
Re 0.6922 0.1245 0.2072
Re 0.6922 0.3755 0.7072
Re 0.8808 0.6277 0.1849
Re 0.8808 0.8723 0.6849
Cl 0.0932 0.5122 0.1604
Cl 0.0932 0.9878 0.6604
Cl 0.0958 0.7416 0.3158
Cl 0.0958 0.7584 0.8158
Cl 0.0980 0.2391 0.4634
Cl 0.0980 0.2609 0.9634
Cl 0.0985 0.0160 0.1564
Cl 0.0985 0.4840 0.6564
Cl 0.2843 0.5131 0.4408
Cl 0.2843 0.9869 0.9408
Cl 0.2902 0.2458 0.2787
Cl 0.2902 0.2542 0.7787
Cl 0.2912 0.7385 0.1361
Cl 0.2912 0.7615 0.6361
Cl 0.2920 0.0092 0.4364
Cl 0.2920 0.4908 0.9364
Cl 0.4762 0.5033 0.2563
Cl 0.4762 0.9967 0.7563
Cl 0.4828 0.7397 0.4162
Cl 0.4828 0.7603 0.9162
Cl 0.5172 0.2397 0.0838
Cl 0.5172 0.2603 0.5838
Cl 0.5238 0.0033 0.2437
Cl 0.5238 0.4967 0.7437
Cl 0.7080 0.5092 0.0636
Cl 0.7080 0.9908 0.5636
Cl 0.7088 0.2385 0.3639
Cl 0.7088 0.2615 0.8639
Cl 0.7098 0.7458 0.2213
Cl 0.7098 0.7542 0.7213
Cl 0.7157 0.0131 0.0592
Cl 0.7157 0.4869 0.5592
Cl 0.9015 0.5160 0.3436
Cl 0.9015 0.9840 0.8436
Cl 0.9020 0.7391 0.0366
Cl 0.9020 0.7609 0.5366
Cl 0.9042 0.2416 0.1842
Cl 0.9042 0.2584 0.6842
Cl 0.9068 0.0122 0.3396
Cl 0.9068 0.4878 0.8396

Symmetry: P2_1/c (14)
Relative energy among the computed polymorphs: 0.048 eV/f.u.

This record from OQMD via LeMat-Bulk describes ReCl6 after structural relaxation. The functional is PBE.

Unit cell a=6.0055 b=6.0055 c=11.2631 alpha=90.44 beta=90.44 gamma=115.96
Sites, in units of the cell vectors:
Re 0.1665 0.8335 0.7500
Re 0.8335 0.1665 0.2500
Cl 0.1325 0.4654 0.1387
Cl 0.1367 0.1511 0.3694
Cl 0.1511 0.1367 0.8694
Cl 0.1854 0.5331 0.6294
Cl 0.4654 0.1325 0.6387
Cl 0.4669 0.8146 0.8706
Cl 0.5331 0.1854 0.1294
Cl 0.5346 0.8675 0.3613
Cl 0.8146 0.4669 0.3706
Cl 0.8489 0.8633 0.1306
Cl 0.8633 0.8489 0.6306
Cl 0.8675 0.5346 0.8613

Symmetry: C2/c (15)
Relative energy among the computed polymorphs: 0.000 eV/f.u.

This record from OQMD via LeMat-Bulk describes ReCl5 after structural relaxation. The functional is PBE.

Unit cell a=6.2167 b=6.7759 c=9.1797 alpha=108.97 beta=90.90 gamma=116.27
Sites, in units of the cell vectors:
Re 0.1023 0.2098 0.2111
Re 0.8977 0.7902 0.7889
Cl 0.0642 0.8088 0.5736
Cl 0.1153 0.6280 0.8574
Cl 0.2416 0.1818 0.9556
Cl 0.3007 0.0083 0.2412
Cl 0.4347 0.5666 0.3330
Cl 0.5653 0.4334 0.6670
Cl 0.6993 0.9917 0.7588
Cl 0.7584 0.8182 0.0444
Cl 0.8847 0.3720 0.1426
Cl 0.9358 0.1912 0.4264

Symmetry: P-1 (2)
Relative energy among the computed polymorphs: 0.000 eV/f.u.